Entry from the Alexandria database: an optimized crystal structure of NaPm2MnO5 (PBE with a Hubbard U).

Cell and atoms, written as POSCAR:
```
NaPm2MnO5
1.0
6.681 0.000 0.000
0.000 6.681 0.000
0.000 0.000 5.780
Na Pm Mn O
2 4 2 10
direct
0.000 0.000 0.000 Na
0.500 0.500 0.000 Na
0.178 0.322 0.500 Pm
0.322 0.822 0.500 Pm
0.678 0.178 0.500 Pm
0.822 0.678 0.500 Pm
0.000 0.500 0.000 Mn
0.500 0.000 0.000 Mn
0.000 0.000 0.500 O
0.136 0.636 0.241 O
0.136 0.636 0.759 O
0.364 0.136 0.241 O
0.364 0.136 0.759 O
0.500 0.500 0.500 O
0.636 0.864 0.241 O
0.636 0.864 0.759 O
0.864 0.364 0.241 O
0.864 0.364 0.759 O
```

Calculated values
Its total magnetic moment is 8.0 μB per cell. As for the symmetry: P4/mbm. The total energy comes out at -7.3002 eV/atom. The value obtained for the density of states at the Fermi level is 0.0 states/eV per cell.